Mg3HRh: relaxed, PBE-GGA.

Cell lengths 3.130, 5.682, 9.976 Å; angles 74.50, 81.28, 74.19 degrees
Element x y z (fractional)
Mg  0.140  0.263  0.452
Mg  0.142  0.571  0.136
Mg  0.142  0.953  0.769
Mg  0.858  0.047  0.231
Mg  0.858  0.429  0.864
Mg  0.860  0.737  0.548
H  0.203  0.658  0.931
H  0.797  0.342  0.069
Rh  0.497  0.663  0.337
Rh  0.503  0.337  0.663

Properties
- DFT total energy: -3.371 eV per atom